P | VASP calculation (GGA-PBE) on ZrRePd2 after structural relaxation.

Unit cell a=3.9205 b=3.9205 c=18.7519 alpha=90.00 beta=90.00 gamma=90.00
With the nearest neighbours (Å) after each atom.
Space group I-42d (No. 122)
Asymmetric unit:
Zr 0.0000 0.0000 0.0000  4 Pd 2.74, 4 Re 2.77
Re 0.0000 0.0000 0.5000  4 Pd 2.71, 4 Zr 2.77
Pd 0.2386 0.2500 0.6250  2 Re 2.71, 4 Pd 2.71-2.84, 2 Zr 2.74

Crystal system: tetragonal


Q | VASP calculation (GGA-PBE) on ZrRePd2 after structural relaxation.

Unit cell a=6.4764 b=6.4764 c=6.4764 alpha=90.00 beta=90.00 gamma=90.00
With the nearest neighbours (Å) after each atom.
Space group Fm-3m (No. 225)
Asymmetric unit:
Zr 0.0000 0.0000 0.0000  8 Pd 2.80
Re 0.0000 0.0000 0.5000  8 Pd 2.80
Pd 0.2500 0.2500 0.2500  4 Zr 2.80, 4 Re 2.80

Crystal system: cubic


The structure with the most favorable energy is Q; the runner-up is 154 meV/atom above it.


P | VASP calculation (GGA-PBE) on PdRh4 after structural relaxation.

Unit cell a=2.7350 b=3.8427 c=13.6893 alpha=90.00 beta=90.00 gamma=90.00
With the nearest neighbours (Å) after each atom.
Space group Immm (No. 71)
Asymmetric unit:
Pd 0.0000 0.0000 0.0000  2 Pd 2.73, 10 Rh 2.74-2.76
Rh 0.0000 0.0000 0.2013  11 Rh 2.69-2.73, 1 Pd 2.76
Rh 0.0000 0.0000 0.3979  8 Rh 2.69-2.79, 4 Pd 2.74

Crystal system: orthorhombic


Q | VASP calculation (GGA-PBE) on PdRh4 after structural relaxation.

Unit cell a=4.6838 b=4.6838 c=4.6838 alpha=90.00 beta=90.00 gamma=90.00
With the nearest neighbours (Å) after each atom.
Space group Pm-3m (No. 221)
Asymmetric unit:
Pd 0.0000 0.0000 0.0000  6 Rh 2.34
Rh 0.0000 0.0000 0.5000  2 Pd 2.34
Rh 0.5000 0.5000 0.5000  12 Rh 3.31

Crystal system: cubic


The structure with the most favorable energy is P; the runner-up is 1770 meV/atom above it.


P | VASP calculation (GGA-PBE) on PdRh2 after structural relaxation.

Unit cell a=2.7373 b=2.7373 c=6.7232 alpha=90.00 beta=90.00 gamma=120.00
With the nearest neighbours (Å) after each atom.
Space group P-3m1 (No. 164)
Asymmetric unit:
Pd 0.0000 0.0000 0.0000  6 Pd 2.74, 6 Rh 2.77
Rh 0.3333 0.6667 0.3389  9 Rh 2.68-2.74, 3 Pd 2.77

Crystal system: trigonal


Q | VASP calculation (GGA-PBE) on PdRh2 after structural relaxation.

Unit cell a=2.7576 b=3.8494 c=8.2199 alpha=90.00 beta=90.00 gamma=90.00
With the nearest neighbours (Å) after each atom.
Space group Immm (No. 71)
Asymmetric unit:
Pd 0.0000 0.0000 0.0000  10 Rh 2.72-2.75, 2 Pd 2.76
Rh 0.0000 0.0000 0.3305  7 Rh 2.71-2.79, 5 Pd 2.72-2.75

Crystal system: orthorhombic


The structure with the most favorable energy is P; the runner-up is 29 meV/atom above it.


P | VASP calculation (GGA-PBE) on PdRh2 after structural relaxation.

Unit cell a=4.7423 b=8.2023 c=4.7607 alpha=90.00 beta=109.64 gamma=90.00
With the nearest neighbours (Å) after each atom.
Space group C2/c (No. 15)
Asymmetric unit:
Pd 0.0000 0.0836 0.2500  10 Rh 2.72-2.76, 2 Pd 2.75
Rh 0.0000 0.2529 0.7500  7 Rh 2.71-2.75, 5 Pd 2.72-2.76
Rh 0.0000 0.4162 0.2500  7 Rh 2.71-2.75, 5 Pd 2.73-2.74

Crystal system: monoclinic


Q | VASP calculation (GGA-PBE) on PdRh2 after structural relaxation.

Unit cell a=7.2203 b=7.2203 c=7.2203 alpha=90.00 beta=90.00 gamma=90.00
With the nearest neighbours (Å) after each atom.
Space group Fd-3m (No. 227, origin choice 2)
Asymmetric unit:
Pd 0.1250 0.1250 0.1250  12 Rh 2.99, 4 Pd 3.13
Rh 0.0000 0.0000 0.5000  6 Rh 2.55

Crystal system: cubic


R | VASP calculation (GGA-PBE) on PdRh2 after structural relaxation.

Unit cell a=8.6677 b=3.8696 c=5.4863 alpha=90.00 beta=108.40 gamma=90.00
With the nearest neighbours (Å) after each atom.
Space group C2/m (No. 12)
Asymmetric unit:
Pd 0.1668 0.0000 0.0828  9 Rh 2.72-2.77, 3 Pd 2.73-2.74
Rh 0.0038 0.5000 0.2577  7 Rh 2.68-2.81, 5 Pd 2.74-2.77
Rh 0.1635 0.0000 0.5771  8 Rh 2.68-2.74, 4 Pd 2.72-2.77

Crystal system: monoclinic


The structure with the most favorable energy is R; the runner-up is 12 meV/atom above it.


P | VASP calculation (GGA-PBE) on PdRh2 after structural relaxation.

Unit cell a=2.7451 b=2.7451 c=11.6071 alpha=90.00 beta=90.00 gamma=90.00
With the nearest neighbours (Å) after each atom.
Space group I4/mmm (No. 139)
Asymmetric unit:
Pd 0.0000 0.0000 0.0000  4 Pd 2.75, 8 Rh 2.78
Rh 0.0000 0.0000 0.3287  8 Rh 2.67-2.75, 4 Pd 2.78

Crystal system: tetragonal


Q | VASP calculation (GGA-PBE) on PdRh2 after structural relaxation.

Unit cell a=9.0757 b=2.7372 c=7.7756 alpha=90.00 beta=115.32 gamma=90.00
With the nearest neighbours (Å) after each atom.
Space group C2/m (No. 12)
Asymmetric unit:
Pd 0.1652 0.0000 0.0843  5 Pd 2.71-2.77, 7 Rh 2.75-2.80
Rh 0.0001 0.5000 0.2588  7 Rh 2.67-2.74, 5 Pd 2.75-2.80
Rh 0.1661 0.0000 0.5797  10 Rh 2.67-2.74, 2 Pd 2.76

Crystal system: monoclinic


The structure with the most favorable energy is Q; the runner-up is 13 meV/atom above it.


P | VASP calculation (GGA-PBE) on Pd5Rh after structural relaxation.

Unit cell a=2.7710 b=2.7710 c=13.7749 alpha=90.00 beta=90.00 gamma=120.00
With the nearest neighbours (Å) after each atom.
Space group P-6m2 (No. 187)
Asymmetric unit:
Pd 0.0000 0.0000 0.0000  12 Pd 2.77-2.82
Pd 0.0000 0.0000 0.3370  3 Rh 2.76, 9 Pd 2.77-2.82
Pd 0.3333 0.6667 0.1684  12 Pd 2.77-2.82
Rh 0.3333 0.6667 0.5000  6 Pd 2.76, 6 Rh 2.77

Crystal system: hexagonal


Q | VASP calculation (GGA-PBE) on Pd5Rh after structural relaxation.

Unit cell a=3.9139 b=11.8624 c=3.9315 alpha=90.00 beta=90.00 gamma=90.00
With the nearest neighbours (Å) after each atom.
Space group Cmmm (No. 65)
Asymmetric unit:
Pd 0.0000 0.0000 0.0000  8 Pd 2.77, 4 Rh 2.77
Pd 0.0000 0.1650 0.5000  2 Rh 2.77, 10 Pd 2.77-2.81
Pd 0.0000 0.3347 0.0000  10 Pd 2.77-2.81, 2 Rh 2.78
Rh 0.0000 0.5000 0.5000  12 Pd 2.77-2.78

Crystal system: orthorhombic


R | VASP calculation (GGA-PBE) on Pd5Rh after structural relaxation.

Unit cell a=2.7774 b=2.7774 c=11.8229 alpha=90.00 beta=90.00 gamma=90.00
With the nearest neighbours (Å) after each atom.
Space group P4/mmm (No. 123)
Asymmetric unit:
Pd 0.0000 0.0000 0.0000  12 Pd 2.78-2.80
Pd 0.0000 0.0000 0.3378  4 Rh 2.74, 8 Pd 2.78-2.80
Pd 0.5000 0.5000 0.1689  12 Pd 2.78-2.80
Rh 0.5000 0.5000 0.5000  8 Pd 2.74, 4 Rh 2.78

Crystal system: tetragonal


The structure with the most favorable energy is R; the runner-up is 15 meV/atom above it.


P | VASP calculation (GGA-PBE) on Pd4Rh after structural relaxation.

Unit cell a=4.7530 b=4.7530 c=4.7530 alpha=90.00 beta=90.00 gamma=90.00
With the nearest neighbours (Å) after each atom.
Space group Pm-3m (No. 221)
Asymmetric unit:
Pd 0.0000 0.0000 0.0000  12 Pd 3.36
Pd 0.0000 0.5000 0.5000  2 Rh 2.38
Rh 0.5000 0.5000 0.5000  6 Pd 2.38

Crystal system: cubic


Q | VASP calculation (GGA-PBE) on Pd4Rh after structural relaxation.

Unit cell a=2.7765 b=2.7765 c=33.9475 alpha=90.00 beta=90.00 gamma=120.00
With the nearest neighbours (Å) after each atom.
Space group R-3m (No. 166, hexagonal axes)
Asymmetric unit:
Pd 0.0000 0.0000 0.1014  3 Rh 2.74, 9 Pd 2.78-2.80
Pd 0.0000 0.0000 0.2995  12 Pd 2.78-2.80
Rh 0.0000 0.0000 0.5000  6 Pd 2.74, 6 Rh 2.78

Crystal system: trigonal


The structure with the most favorable energy is Q; the runner-up is 1168 meV/atom above it.


P | VASP calculation (GGA-PBE) on Pd8Rh after structural relaxation.

Unit cell a=8.3704 b=8.3704 c=3.9305 alpha=90.00 beta=90.00 gamma=90.00
With the nearest neighbours (Å) after each atom.
Space group I4/mmm (No. 139)
Asymmetric unit:
Pd 0.0000 0.3318 0.0000  1 Rh 2.78, 11 Pd 2.78-2.82
Pd 0.1650 0.1650 0.5000  10 Pd 2.76-2.81, 2 Rh 2.77
Rh 0.0000 0.0000 0.0000  12 Pd 2.77-2.78

Crystal system: tetragonal


Q | VASP calculation (GGA-PBE) on Pd8Rh after structural relaxation.

Unit cell a=10.7453 b=10.7453 c=2.6642 alpha=90.00 beta=90.00 gamma=90.00
With the nearest neighbours (Å) after each atom.
Space group I4/mmm (No. 139)
Asymmetric unit:
Pd 0.0000 0.3436 0.0000  8 Pd 2.61-2.72
Pd 0.1699 0.1699 0.0000  1 Rh 2.58, 6 Pd 2.61-2.78
Rh 0.0000 0.0000 0.0000  4 Pd 2.58, 2 Rh 2.66

Crystal system: tetragonal


The structure with the most favorable energy is P; the runner-up is 363 meV/atom above it.